Entry 1:
A relaxed NbBiPW2 crystal, computed with PBE-GGA.

a = 4.807 Å, b = 4.807 Å, c = 5.377 Å
α = 90.00°, β = 90.00°, γ = 90.00°
Space group P4/mmm (No. 123)
One atom of each set of equivalent atoms:
Nb: 0.000 0.000 0.000 (multiplicity 1)
Bi: 0.000 0.000 0.500 (multiplicity 1)
P: 0.500 0.500 0.500 (multiplicity 1)
W: 0.000 0.500 0.000 (multiplicity 2)

Results
Calculated density in g cm⁻³: 9.36
Total moment in μB per atom: 0.122
Energy relative to the elements in meV per atom: 2193

***

Entry 2:
A relaxed Y2HfBr crystal, computed with PBE-GGA.

a = 7.603 Å, b = 7.603 Å, c = 7.603 Å
α = 90.00°, β = 90.00°, γ = 90.00°
Space group Fm-3m (No. 225)
One atom of each set of equivalent atoms:
Y: 0.250 0.250 0.250 (multiplicity 8)
Hf: 0.000 0.000 0.000 (multiplicity 4)
Br: 0.000 0.000 0.500 (multiplicity 4)

Results
Calculated density in g cm⁻³: 6.59
Formation energy without anion corrections in eV per atom: 0.2733
Total moment in μB per atom: 0.532

***

Entry 3:
A relaxed NiAg2Cl crystal, computed with PBE-GGA.

a = 2.946 Å, b = 3.667 Å, c = 13.342 Å
α = 90.00°, β = 90.00°, γ = 90.00°
Space group Immm (No. 71)
One atom of each set of equivalent atoms:
Ni: 0.000 0.000 0.000 (multiplicity 2)
Ag: 0.000 0.500 0.312 (multiplicity 4)
Cl: 0.000 0.000 0.500 (multiplicity 2)

Results
Calculated density in g cm⁻³: 7.14
Formation energy without anion corrections in eV per atom: 0.1845
Total moment in μB per atom: 0.000

***

Entry 4:
A relaxed Cs3Th2MnTe6 crystal, computed with PBE-GGA.

a = 7.880 Å, b = 13.643 Å, c = 9.328 Å
α = 90.00°, β = 106.40°, γ = 90.00°
Space group C2/m (No. 12)
One atom of each set of equivalent atoms:
Cs: 0.000 0.000 0.000 (multiplicity 2)
Cs: 0.000 0.330 0.000 (multiplicity 4)
Th: 0.000 0.166 0.500 (multiplicity 4)
Mn: 0.000 0.500 0.500 (multiplicity 2)
Te: 0.223 0.340 0.688 (multiplicity 8)
Te: 0.243 0.000 0.690 (multiplicity 4)

Results
Calculated density in g cm⁻³: 5.81
Formation energy without anion corrections in eV per atom: -0.9939
Total moment in μB per atom: 0.377

***

Entry 5:
A relaxed Tb3Zn4Ni4 crystal, computed with PBE-GGA.

a = 3.991 Å, b = 7.053 Å, c = 13.501 Å
α = 90.00°, β = 90.00°, γ = 90.00°
Space group Immm (No. 71)
One atom of each set of equivalent atoms:
Tb: 0.000 0.000 0.000 (multiplicity 2)
Tb: 0.000 0.500 0.127 (multiplicity 4)
Zn: 0.000 0.309 0.329 (multiplicity 8)
Ni: 0.000 0.000 0.220 (multiplicity 4)
Ni: 0.000 0.175 0.500 (multiplicity 4)

Results
Calculated density in g cm⁻³: 8.50
Total moment in μB per atom: 0.000
Energy relative to the elements in meV per atom: -397

***

Entry 6:
A relaxed CrPdI4 crystal, computed with PBE-GGA.

a = 7.733 Å, b = 3.937 Å, c = 8.020 Å
α = 90.00°, β = 108.89°, γ = 90.00°
Space group P2/m (No. 10)
One atom of each set of equivalent atoms:
Cr: 0.000 0.000 0.000 (multiplicity 1)
Pd: 0.500 0.500 0.500 (multiplicity 1)
I: 0.191 0.500 0.901 (multiplicity 2)
I: 0.260 0.000 0.384 (multiplicity 2)

Results
Calculated density in g cm⁻³: 4.79
Formation energy without anion corrections in eV per atom: -0.2522
Total moment in μB per atom: 0.639

***

Entry 7:
A relaxed Na3NpC2N6 crystal, computed with PBE-GGA.

a = 5.3740 Å, b = 5.3740 Å, c = 6.2909 Å
α = 90.00°, β = 90.00°, γ = 120.00°
Space group P-3m1 (No. 164)
One atom of each set of equivalent atoms:
Na: 0.0000 0.0000 0.0000 (multiplicity 1)
Na: 0.3333 0.6667 0.7386 (multiplicity 2)
Np: 0.0000 0.0000 0.5000 (multiplicity 1)
C: 0.3333 0.6667 0.2950 (multiplicity 2)
N: 0.1875 0.3749 0.2963 (multiplicity 6)

Results
Calculated density in g cm⁻³: 4.37
Formation energy without anion corrections in eV per atom: -0.2825
Total moment in μB per atom: 0.050

***

Entry 8:
A relaxed LuHfIn crystal, computed with PBE-GGA.

a = 3.355 Å, b = 3.355 Å, c = 12.904 Å
α = 90.00°, β = 90.00°, γ = 90.00°
Space group I4mm (No. 107)
One atom of each set of equivalent atoms:
Lu: 0.000 0.000 0.000 (multiplicity 2)
Hf: 0.000 0.000 0.670 (multiplicity 2)
In: 0.000 0.000 0.328 (multiplicity 2)

Results
Calculated density in g cm⁻³: 10.71
Total moment in μB per atom: 0.000
Energy relative to the elements in meV per atom: -196